Here is a relaxed BaAs2Pt crystal from Alexandria via LeMat-Bulk. Energies are from PBE-GGA.

The structure in extended XYZ format:
```
4
Lattice="-4.1819 -1.0534 0.2187 2.6841 -0.8540 3.2730 -1.4799 6.4781 2.9041" Properties=species:S:1:pos:R:3 pbc="T T T"
As -1.3764 6.0248 2.7008
As -0.8435 3.6924 1.6552
Pt -1.8589 3.9049 3.9239
Ba -1.1189 0.6658 2.4719
```

## Properties
- Space group: Cmmm, No. 65
- Crystal system: orthorhombic

***

Here is a relaxed Ni10B3Pb crystal from Alexandria via LeMat-Bulk. Energies are from PBE-GGA.

The structure in extended XYZ format:
```
28
Lattice="6.5104 0.0000 3.7588 2.1701 6.1381 3.7588 0.0000 0.0000 7.5176" Properties=species:S:1:pos:R:3 pbc="T T T"
Pb 2.1701 1.5345 3.7588
Pb 6.5104 4.6036 11.2764
Ni 6.3076 2.3735 7.5176
Ni 5.0746 2.0306 3.7588
Ni 0.7179 2.0306 6.2741
Ni 4.3403 5.1557 7.5176
Ni 2.1538 0.0000 1.2435
Ni 0.7179 2.0306 1.2435
Ni 0.0000 0.0000 5.0306
Ni 1.4522 4.1075 2.5153
Ni 0.0000 0.0000 2.4870
Ni 1.4522 4.1075 5.0023
Ni 2.1538 0.0000 6.2741
Ni 3.3566 2.3735 5.8138
Ni 5.3240 3.7646 9.2214
Ni 3.6060 4.1075 3.7588
Ni 4.3566 0.0000 5.0023
Ni 3.3566 2.3735 9.2214
Ni 2.3729 3.7646 7.5176
Ni 4.3566 0.0000 2.5153
Ni 4.3403 0.9823 7.5176
Ni 5.3240 3.7646 5.8138
B 6.3220 4.4704 7.5176
B 3.3494 4.4704 5.8013
B 3.3494 4.4704 9.2338
B 5.3312 1.6677 9.2338
B 5.3312 1.6677 5.8013
B 2.3585 1.6677 7.5176
```

## Properties
- Space group: Fm-3m, No. 225
- Crystal system: cubic

***

Here is a relaxed SrNi2Hg crystal from Alexandria via LeMat-Bulk. Energies are from PBE-GGA.

The structure in extended XYZ format:
```
4
Lattice="-1.3015 -2.9913 3.0373 4.2078 -0.3926 1.4168 -0.5860 2.8142 2.5206" Properties=species:S:1:pos:R:3 pbc="T T T"
Sr -0.9438 -0.0885 2.7790
Ni 0.0000 0.0000 0.0000
Ni 1.4531 -1.6920 2.2271
Hg 1.8109 1.2108 1.9687
```

## Properties
- Space group: P4/mmm, No. 123
- Crystal system: tetragonal

***

The records above give, respectively, VASP energy values of -4.66, -5.99, -3.16 eV per atom.
The records above give, respectively, DOS at the Fermi energy values of 3.4, 16.6, 1.9 states/eV/cell.
The records above give, respectively, volume values of 28.97, 10.73, 18.99 A^3/atom.